This record from Alexandria describes crystalline LiCo2F5 at its relaxed geometry. The functional is PBE with a Hubbard U.

Output
DOS at the Fermi energy (states/eV/cell): 0.0
Total energy (Ry per atom): -0.3662

Cell: 8.279 8.711 6.273 Å, 90.00 90.00 90.00°
Positions (direct):
1 Li 0.249 0.235 0.000
2 Li 0.251 0.735 0.500
3 Li 0.749 0.265 0.500
4 Li 0.751 0.765 0.000
5 Co 0.000 0.000 0.255
6 Co 0.000 0.000 0.745
7 Co 0.133 0.635 0.000
8 Co 0.367 0.135 0.500
9 Co 0.500 0.500 0.245
10 Co 0.500 0.500 0.755
11 Co 0.633 0.865 0.500
12 Co 0.867 0.365 0.000
13 F 0.065 0.859 0.500
14 F 0.082 0.865 0.000
15 F 0.103 0.396 0.000
16 F 0.219 0.115 0.250
17 F 0.219 0.115 0.750
18 F 0.281 0.615 0.250
19 F 0.281 0.615 0.750
20 F 0.397 0.896 0.500
21 F 0.418 0.365 0.500
22 F 0.435 0.359 0.000
23 F 0.565 0.641 0.000
24 F 0.582 0.635 0.500
25 F 0.603 0.104 0.500
26 F 0.719 0.385 0.250
27 F 0.719 0.385 0.750
28 F 0.781 0.885 0.250
29 F 0.781 0.885 0.750
30 F 0.897 0.604 0.000
31 F 0.918 0.135 0.000
32 F 0.935 0.141 0.500